A relaxed RbLiTl6 crystal, computed with PBE-GGA. Values from VASP.

Quantum ESPRESSO input file:
```
&SYSTEM
  ibrav = 0, nat = 8, ntyp = 3
/
ATOMIC_SPECIES
Rb 85.47 Rb.upf
Li 6.94 Li.upf
Tl 204.38 Tl.upf
CELL_PARAMETERS angstrom
5.2539 0.0000 0.0000
0.0000 5.2539 0.0000
0.0000 0.0000 9.5639
ATOMIC_POSITIONS crystal
Rb 0.0000 0.0000 0.0000
Li 0.0000 0.0000 0.5000
Tl 0.5000 0.0000 0.6625
Tl 0.0000 0.5000 0.6625
Tl 0.5000 0.5000 0.1591
Tl 0.5000 0.5000 0.8409
Tl 0.0000 0.5000 0.3375
Tl 0.5000 0.0000 0.3375
```

Results
- Crystal system: tetragonal
- Magnetic moment: 0.00 μB per formula unit
- Volume: 264 Å³/f.u.
- Energy of formation from the pure elements: -0.029 eV/atom
- Energy above the most stable polymorph in this dataset: 11 meV/atom